# 1
# PBE K2U3AgSe8, optimized geometry
data_K2U3AgSe8
_chemical_formula_sum 'K6 U9 Ag3 Se24'
_cell_length_a 8.2761
_cell_length_b 8.2761
_cell_length_c 24.6849
_cell_angle_alpha 90.00
_cell_angle_beta 90.00
_cell_angle_gamma 120.00
_symmetry_space_group_name_H-M 'R 3 m'
_symmetry_Int_Tables_number 160
_symmetry_space_group_name_Hall 'R 3 -2"'
loop_
_atom_site_label
_atom_site_fract_x
_atom_site_fract_y
_atom_site_fract_z
K1 0.0000 0.0000 0.0000
K2 0.0000 0.0000 0.3559
U1 0.1683 0.3365 0.1903
Ag1 0.0000 0.0000 0.8413
Se1 0.0000 0.0000 0.1288
Se2 0.0000 0.0000 0.5871
Se3 0.0185 0.5093 0.1262
Se4 0.1762 0.3524 0.9194
# Crystal system = trigonal
# Magnetization = 5.000 μB per formula unit
# ΔE_f (raw) = -14.955 eV/f.u.


# 2
# PBE KVAg2Se4, optimized geometry
data_KVAg2Se4
_chemical_formula_sum 'K2 V2 Ag4 Se8'
_cell_length_a 6.959
_cell_length_b 6.959
_cell_length_c 9.158
_cell_angle_alpha 90.00
_cell_angle_beta 90.00
_cell_angle_gamma 90.00
_symmetry_space_group_name_H-M 'I -4 2 m'
_symmetry_Int_Tables_number 121
_symmetry_space_group_name_Hall 'I -4 2'
loop_
_atom_site_label
_atom_site_fract_x
_atom_site_fract_y
_atom_site_fract_z
K1 0.000 0.000 0.000
V1 0.000 0.000 0.500
Ag1 0.000 0.500 0.250
Se1 0.192 0.192 0.646
# Crystal system = tetragonal
# Magnetization = 0.000 μB per formula unit
# ΔE_f (raw) = -4.297 eV/f.u.


# 3
# PBE K2VAgSe2, optimized geometry
data_K2VAgSe2
_chemical_formula_sum 'K32 V16 Ag16 Se32'
_cell_length_a 9.468
_cell_length_b 12.360
_cell_length_c 24.506
_cell_angle_alpha 90.00
_cell_angle_beta 90.00
_cell_angle_gamma 90.00
_symmetry_space_group_name_H-M 'F d d d'
_symmetry_Int_Tables_number 70
loop_
_symmetry_equiv_pos_as_xyz
'x,y,z'
'-x,-y,-z'
'-x+1/4,-y+1/4,z'
'x+1/4,y+1/4,-z'
'x,-y+1/4,-z+1/4'
'-x,y+1/4,z+1/4'
'-x+1/4,y,-z+1/4'
'x+1/4,-y,z+1/4'
'x,y+1/2,z+1/2'
'-x,-y+1/2,-z+1/2'
'-x+1/4,-y+3/4,z+1/2'
'x+1/4,y+3/4,-z+1/2'
'x,-y+3/4,-z+3/4'
'-x,y+3/4,z+3/4'
'-x+1/4,y+1/2,-z+3/4'
'x+1/4,-y+1/2,z+3/4'
'x+1/2,y,z+1/2'
'-x+1/2,-y,-z+1/2'
'-x+3/4,-y+1/4,z+1/2'
'x+3/4,y+1/4,-z+1/2'
'x+1/2,-y+1/4,-z+3/4'
'-x+1/2,y+1/4,z+3/4'
'-x+3/4,y,-z+3/4'
'x+3/4,-y,z+3/4'
'x+1/2,y+1/2,z'
'-x+1/2,-y+1/2,-z'
'-x+3/4,-y+3/4,z'
'x+3/4,y+3/4,-z'
'x+1/2,-y+3/4,-z+1/4'
'-x+1/2,y+3/4,z+1/4'
'-x+3/4,y+1/2,-z+1/4'
'x+3/4,-y+1/2,z+1/4'
loop_
_atom_site_label
_atom_site_fract_x
_atom_site_fract_y
_atom_site_fract_z
K1 0.045 0.010 0.349
V1 0.000 0.000 0.500
Ag1 0.000 0.000 0.000
Se1 0.016 0.303 0.039
# Crystal system = orthorhombic
# Magnetization = 3.227 μB per formula unit
# ΔE_f (raw) = -1.624 eV/f.u.


# 4
# PBE K2AgWSe4, optimized geometry
data_K2AgWSe4
_chemical_formula_sum 'K16 Ag8 W8 Se32'
_cell_length_a 5.946
_cell_length_b 13.834
_cell_length_c 24.518
_cell_angle_alpha 90.00
_cell_angle_beta 90.00
_cell_angle_gamma 90.00
_symmetry_space_group_name_H-M 'F d d d'
_symmetry_Int_Tables_number 70
loop_
_symmetry_equiv_pos_as_xyz
'x,y,z'
'-x,-y,-z'
'-x+1/4,-y+1/4,z'
'x+1/4,y+1/4,-z'
'x,-y+1/4,-z+1/4'
'-x,y+1/4,z+1/4'
'-x+1/4,y,-z+1/4'
'x+1/4,-y,z+1/4'
'x,y+1/2,z+1/2'
'-x,-y+1/2,-z+1/2'
'-x+1/4,-y+3/4,z+1/2'
'x+1/4,y+3/4,-z+1/2'
'x,-y+3/4,-z+3/4'
'-x,y+3/4,z+3/4'
'-x+1/4,y+1/2,-z+3/4'
'x+1/4,-y+1/2,z+3/4'
'x+1/2,y,z+1/2'
'-x+1/2,-y,-z+1/2'
'-x+3/4,-y+1/4,z+1/2'
'x+3/4,y+1/4,-z+1/2'
'x+1/2,-y+1/4,-z+3/4'
'-x+1/2,y+1/4,z+3/4'
'-x+3/4,y,-z+3/4'
'x+3/4,-y,z+3/4'
'x+1/2,y+1/2,z'
'-x+1/2,-y+1/2,-z'
'-x+3/4,-y+3/4,z'
'x+3/4,y+3/4,-z'
'x+1/2,-y+3/4,-z+1/4'
'-x+1/2,y+3/4,z+1/4'
'-x+3/4,y+1/2,-z+1/4'
'x+3/4,-y+1/2,z+1/4'
loop_
_atom_site_label
_atom_site_fract_x
_atom_site_fract_y
_atom_site_fract_z
K1 0.125 0.125 0.308
Ag1 0.125 0.125 0.125
W1 0.125 0.125 0.625
Se1 0.090 0.270 0.816
# Crystal system = orthorhombic
# Magnetization = 1.036 μB per formula unit
# ΔE_f (raw) = -4.918 eV/f.u.


# 5
# PBE KY2AgSe4, optimized geometry
data_KY2AgSe4
_chemical_formula_sum 'K4 Y8 Ag4 Se16'
_cell_length_a 4.199
_cell_length_b 14.070
_cell_length_c 14.818
_cell_angle_alpha 90.00
_cell_angle_beta 90.00
_cell_angle_gamma 90.00
_symmetry_space_group_name_H-M 'C m c m'
_symmetry_Int_Tables_number 63
_symmetry_space_group_name_Hall '-C 2c 2'
loop_
_atom_site_label
_atom_site_fract_x
_atom_site_fract_y
_atom_site_fract_z
K1 0.000 0.122 0.250
Y1 0.000 0.369 0.068
Ag1 0.000 0.161 0.750
Se1 0.000 0.000 0.000
Se2 0.000 0.266 0.603
Se3 0.000 0.450 0.250
# Crystal system = orthorhombic
# Magnetization = 0.000 μB per formula unit
# ΔE_f (raw) = -11.827 eV/f.u.


# 6
# PBE KYAgSe2, optimized geometry
data_KYAgSe2
_chemical_formula_sum 'K2 Y2 Ag2 Se4'
_cell_length_a 7.659
_cell_length_b 5.019
_cell_length_c 8.024
_cell_angle_alpha 90.00
_cell_angle_beta 98.01
_cell_angle_gamma 90.00
_symmetry_space_group_name_H-M 'P 1 2/c 1'
_symmetry_Int_Tables_number 13
loop_
_symmetry_equiv_pos_as_xyz
'x,y,z'
'-x,-y,-z'
'-x,y,-z+1/2'
'x,-y,z+1/2'
loop_
_atom_site_label
_atom_site_fract_x
_atom_site_fract_y
_atom_site_fract_z
K1 0.000 0.116 0.250
Y1 0.500 0.495 0.750
Ag1 0.500 0.000 0.000
Se1 0.250 0.381 0.968
# Crystal system = monoclinic
# Magnetization = 0.000 μB per formula unit
# ΔE_f (raw) = -5.250 eV/f.u.


# 7
# PBE K2YAg2Se4, optimized geometry
data_K2YAg2Se4
_chemical_formula_sum 'K4 Y2 Ag4 Se8'
_cell_length_a 15.558
_cell_length_b 4.154
_cell_length_c 8.081
_cell_angle_alpha 90.00
_cell_angle_beta 109.44
_cell_angle_gamma 90.00
_symmetry_space_group_name_H-M 'C 1 2/m 1'
_symmetry_Int_Tables_number 12
loop_
_symmetry_equiv_pos_as_xyz
'x,y,z'
'-x,-y,-z'
'-x,y,-z'
'x,-y,z'
'x+1/2,y+1/2,z'
'-x+1/2,-y+1/2,-z'
'-x+1/2,y+1/2,-z'
'x+1/2,-y+1/2,z'
loop_
_atom_site_label
_atom_site_fract_x
_atom_site_fract_y
_atom_site_fract_z
K1 0.130 0.000 0.065
Y1 0.000 0.000 0.500
Ag1 0.179 0.500 0.483
Se1 0.010 0.500 0.258
Se2 0.198 0.000 0.700
# Crystal system = monoclinic
# Magnetization = 0.000 μB per formula unit
# ΔE_f (raw) = -9.168 eV/f.u.


# 8
# PBE KY3Ag2Se6, optimized geometry
data_KY3Ag2Se6
_chemical_formula_sum 'K2 Y6 Ag4 Se12'
_cell_length_a 19.742
_cell_length_b 4.153
_cell_length_c 8.231
_cell_angle_alpha 90.00
_cell_angle_beta 106.74
_cell_angle_gamma 90.00
_symmetry_space_group_name_H-M 'C 1 2/m 1'
_symmetry_Int_Tables_number 12
loop_
_symmetry_equiv_pos_as_xyz
'x,y,z'
'-x,-y,-z'
'-x,y,-z'
'x,-y,z'
'x+1/2,y+1/2,z'
'-x+1/2,-y+1/2,-z'
'-x+1/2,y+1/2,-z'
'x+1/2,-y+1/2,z'
loop_
_atom_site_label
_atom_site_fract_x
_atom_site_fract_y
_atom_site_fract_z
K1 0.000 0.000 0.000
Y1 0.000 0.000 0.500
Y2 0.172 0.500 0.811
Ag1 0.201 0.500 0.316
Se1 0.023 0.500 0.741
Se2 0.156 0.000 0.551
Se3 0.176 0.000 0.070
# Crystal system = monoclinic
# Magnetization = 0.000 μB per formula unit
# ΔE_f (raw) = -16.232 eV/f.u.


# 9
# PBE K4Zr3AgSe8, optimized geometry
data_K4Zr3AgSe8
_chemical_formula_sum 'K12 Zr9 Ag3 Se24'
_cell_length_a 8.0790
_cell_length_b 8.0790
_cell_length_c 22.8929
_cell_angle_alpha 90.00
_cell_angle_beta 90.00
_cell_angle_gamma 120.00
_symmetry_space_group_name_H-M 'R -3 m'
_symmetry_Int_Tables_number 166
_symmetry_space_group_name_Hall '-R 3 2"'
loop_
_atom_site_label
_atom_site_fract_x
_atom_site_fract_y
_atom_site_fract_z
K1 0.0000 0.0000 0.0000
K2 0.0000 0.5000 0.0000
Zr1 0.0000 0.5000 0.5000
Ag1 0.0000 0.0000 0.5000
Se1 0.0000 0.0000 0.2339
Se2 0.0147 0.5073 0.7672
# Crystal system = trigonal
# Magnetization = 0.000 μB per formula unit
# ΔE_f (raw) = -19.137 eV/f.u.


# 10
# PBE K3Zr3AgSe8, optimized geometry
data_K3Zr3AgSe8
_chemical_formula_sum 'K9 Zr9 Ag3 Se24'
_cell_length_a 7.9661
_cell_length_b 7.9661
_cell_length_c 23.1234
_cell_angle_alpha 90.00
_cell_angle_beta 90.00
_cell_angle_gamma 120.00
_symmetry_space_group_name_H-M 'R -3 m'
_symmetry_Int_Tables_number 166
_symmetry_space_group_name_Hall '-R 3 2"'
loop_
_atom_site_label
_atom_site_fract_x
_atom_site_fract_y
_atom_site_fract_z
K1 0.0000 0.5000 0.0000
Zr1 0.0000 0.5000 0.5000
Ag1 0.0000 0.0000 0.5000
Se1 0.0000 0.0000 0.2340
Se2 0.0197 0.5098 0.7675
# Crystal system = trigonal
# Magnetization = 0.000 μB per formula unit
# ΔE_f (raw) = -17.584 eV/f.u.


# 11
# PBE K2ZrAg2Se4, optimized geometry
data_K2ZrAg2Se4
_chemical_formula_sum 'K4 Zr2 Ag4 Se8'
_cell_length_a 15.363
_cell_length_b 4.115
_cell_length_c 7.944
_cell_angle_alpha 90.00
_cell_angle_beta 110.43
_cell_angle_gamma 90.00
_symmetry_space_group_name_H-M 'C 1 2/m 1'
_symmetry_Int_Tables_number 12
loop_
_symmetry_equiv_pos_as_xyz
'x,y,z'
'-x,-y,-z'
'-x,y,-z'
'x,-y,z'
'x+1/2,y+1/2,z'
'-x+1/2,-y+1/2,-z'
'-x+1/2,y+1/2,-z'
'x+1/2,-y+1/2,z'
loop_
_atom_site_label
_atom_site_fract_x
_atom_site_fract_y
_atom_site_fract_z
K1 0.137 0.000 0.075
Zr1 0.000 0.000 0.500
Ag1 0.180 0.500 0.477
Se1 0.005 0.500 0.265
Se2 0.188 0.000 0.700
# Crystal system = monoclinic
# Magnetization = 0.000 μB per formula unit
# ΔE_f (raw) = -8.363 eV/f.u.


# 12
# PBE K2ZrAgSe4, optimized geometry
data_K2ZrAgSe4
_chemical_formula_sum 'K2 Zr1 Ag1 Se4'
_cell_length_a 7.671
_cell_length_b 3.973
_cell_length_c 8.066
_cell_angle_alpha 90.00
_cell_angle_beta 112.59
_cell_angle_gamma 90.00
_symmetry_space_group_name_H-M 'P 1 2/m 1'
_symmetry_Int_Tables_number 10
loop_
_symmetry_equiv_pos_as_xyz
'x,y,z'
'-x,-y,-z'
'-x,y,-z'
'x,-y,z'
loop_
_atom_site_label
_atom_site_fract_x
_atom_site_fract_y
_atom_site_fract_z
K1 0.000 0.000 0.000
K2 0.500 0.500 0.000
Zr1 0.000 0.500 0.500
Ag1 0.500 0.000 0.500
Se1 0.197 0.000 0.721
Se2 0.263 0.500 0.339
# Crystal system = monoclinic
# Magnetization = 0.000 μB per formula unit
# ΔE_f (raw) = -7.774 eV/f.u.